Crystalline Na5Si2O5 at its relaxed geometry, computed with GGA-PBE.

Uncorrected formation energy   -160.7 kJ/mol of atoms
Electronic total energy   -62.22 eV for the cell shown

Cell: 3.0356 7.4302 9.3303 Å, 101.29 90.00 101.79°
Atoms (fractional coordinates):
O: 0.4396 0.8792 0.7656
O: 0.1826 0.3652 0.1200
O: 0.8174 0.6348 0.8800
O: 0.0000 0.0000 0.0000
O: 0.5604 0.1208 0.2344
Na: 0.7511 0.5023 0.3322
Na: 0.5000 0.0000 0.5000
Na: 0.2489 0.4977 0.6678
Na: 0.3421 0.6841 0.0867
Na: 0.6579 0.3159 0.9133
Si: 0.0783 0.1567 0.1552
Si: 0.9217 0.8433 0.8448



Crystalline LiAc4Pa3N8 at its relaxed geometry, computed with GGA-PBE.

Uncorrected formation energy   -120.2 kJ/mol of atoms
Electronic total energy   -133.38 eV for the cell shown

Cell: 7.2495 7.4357 7.2499 Å, 119.18 120.00 90.00°
Atoms (fractional coordinates):
N: 0.2494 0.7018 0.9524
N: 0.7506 0.2982 0.0476
N: 0.7309 0.6927 0.4618
N: 0.2691 0.3073 0.5382
N: 0.2494 0.7018 0.4987
N: 0.2969 0.2982 0.0476
N: 0.7506 0.2982 0.5013
N: 0.7031 0.7018 0.9524
Pa: 0.5000 0.5000 0.0000
Pa: 0.5000 0.5000 0.5000
Pa: 0.0000 0.5000 0.5000
Ac: 0.0000 0.0000 0.0000
Ac: 0.5000 0.0000 0.5000
Ac: 0.5000 0.0000 0.0000
Ac: 0.0000 0.0000 0.5000
Li: 0.0000 0.5000 0.0000



Crystalline CaTaAs2Se at its relaxed geometry, computed with GGA-PBE.

Uncorrected formation energy   13.1 kJ/mol of atoms
Offset from the most stable computed form   588.6 meV per atom
Electronic total energy   -25.96 eV for the cell shown

Cell: 4.8271 6.8081 4.8271 Å, 90.00 90.00 90.00°
Each line ends with the local moment (μB).
Atoms (fractional coordinates):
Se: 0.5000 0.5000 0.5000  0.11
As: 0.0000 0.0000 0.5000  -0.06
As: 0.5000 0.0000 0.0000  -0.04
Ta: 0.0000 0.0000 0.0000  0.57
Ca: 0.0000 0.5000 0.0000  0.05



Crystalline ZrNb2CoIr at its relaxed geometry, computed with GGA-PBE.

Energy of formation   1.991 eV per atom
Electronic total energy   -34.70 eV for the cell shown

Cell: 4.9012 4.9012 4.7399 Å, 90.00 90.00 90.00°
Each line ends with the local moment (μB).
Atoms (fractional coordinates):
Nb: 0.0000 0.5000 0.0000  -0.15
Nb: 0.5000 0.0000 0.0000  -0.15
Co: 0.5000 0.5000 0.5000  0.36
Ir: 0.0000 0.0000 0.5000  -0.08
Zr: 0.0000 0.0000 0.0000  -0.01



Crystalline Zr3BiAu at its relaxed geometry, computed with GGA-PBE.

Offset from the most stable computed form   1350.3 meV per atom
Energy of formation   1.079 eV per atom
Electronic total energy   -27.41 eV for the cell shown

Cell: 5.3572 5.3572 5.3572 Å, 90.00 90.00 90.00°
Atoms (fractional coordinates):
Bi: 0.0000 0.0000 0.0000
Zr: 0.0000 0.0000 0.5000
Zr: 0.0000 0.5000 0.0000
Zr: 0.5000 0.0000 0.0000
Au: 0.5000 0.5000 0.5000



Crystalline TlCuSiP2 at its relaxed geometry, computed with GGA-PBE.

Uncorrected formation energy   68.5 kJ/mol of atoms
Electronic total energy   -19.15 eV for the cell shown

Cell: 4.6248 4.7186 4.6248 Å, 90.00 90.00 90.00°
Atoms (fractional coordinates):
Cu: 0.0000 0.0000 0.0000
P: 0.5000 0.0000 0.0000
P: 0.0000 0.0000 0.5000
Tl: 0.5000 0.5000 0.5000
Si: 0.0000 0.5000 0.0000



Crystalline LiSn2Rh at its relaxed geometry, computed with GGA-PBE.

Energy of formation   -0.334 eV per atom
Electronic total energy   -18.61 eV for the cell shown

Cell: 4.1885 4.1885 5.5132 Å, 90.00 90.00 120.00°
Atoms (fractional coordinates):
Li: 0.0000 0.0000 0.5000
Rh: 0.0000 0.0000 0.0000
Sn: 0.6667 0.3333 0.7842
Sn: 0.3333 0.6667 0.2158



Crystalline ScReIr2 at its relaxed geometry, computed with GGA-PBE.

Offset from the most stable computed form   103.7 meV per atom
Energy of formation   -0.352 eV per atom
Electronic total energy   -37.91 eV for the cell shown

Cell: 4.9248 4.9248 4.7866 Å, 80.38 80.38 33.46°
Atoms (fractional coordinates):
Sc: 0.2579 0.2579 0.2192
Ir: 0.0102 0.0102 0.0250
Ir: 0.7476 0.7476 0.7108
Re: 0.4844 0.4844 0.5449



Crystalline LiCrH2Se at its relaxed geometry, computed with GGA-PBE.

Offset from the most stable computed form   838.1 meV per atom
Electronic total energy   -18.69 eV for the cell shown

Cell: 3.7487 5.2785 3.7487 Å, 90.00 90.00 90.00°
Each line ends with the local moment (μB).
Atoms (fractional coordinates):
H: 0.0000 0.0000 0.5000  0.01
H: 0.5000 0.0000 0.0000  0.01
Se: 0.0000 0.0000 0.0000  -0.06
Li: 0.5000 0.5000 0.5000  0.04
Cr: 0.0000 0.5000 0.0000  3.75



Crystalline MnBeSi2 at its relaxed geometry, computed with GGA-PBE.

Uncorrected formation energy   -12.6 kJ/mol of atoms
Electronic total energy   -24.27 eV for the cell shown

Cell: 3.0676 3.0680 4.7052 Å, 90.00 90.00 90.00°
Atoms (fractional coordinates):
Si: 0.5000 0.5000 0.2666
Si: 0.0000 0.0000 0.9828
Be: 0.0000 0.0000 0.4936
Mn: 0.5000 0.5000 0.7571



Crystalline AcAg12Sn4 at its relaxed geometry, computed with GGA-PBE.

Energy of formation   0.228 eV per atom
Electronic total energy   -50.46 eV for the cell shown

Cell: 8.2198 8.2198 8.2198 Å, 109.48 109.48 109.48°
Atoms (fractional coordinates):
Ag: 0.4994 0.8536 0.6458
Ag: 0.3542 0.5006 0.1464
Ag: 0.5006 0.1464 0.3542
Ag: 0.7922 0.1463 0.6457
Ag: 0.6458 0.4994 0.8536
Ag: 0.1464 0.6457 0.7922
Ag: 0.1464 0.3542 0.5006
Ag: 0.8536 0.6458 0.4994
Ag: 0.2078 0.8537 0.3543
Ag: 0.8536 0.3543 0.2078
Ag: 0.6457 0.7922 0.1464
Ag: 0.3543 0.2078 0.8536
Sn: 0.0000 0.5000 0.0000
Sn: 0.5000 0.5000 0.5000
Sn: 0.0000 0.0000 0.5000
Sn: 0.5000 0.0000 0.0000
Ac: 0.0000 0.0000 0.0000



Crystalline Ac3ReO7 at its relaxed geometry, computed with GGA-PBE.

Uncorrected formation energy   -270.8 kJ/mol of atoms
Electronic total energy   -180.71 eV for the cell shown

Cell: 6.9842 6.9842 7.9003 Å, 90.00 90.00 112.59°
Each line ends with the local moment (μB).
Atoms (fractional coordinates):
Ac: 0.4659 0.9083 0.2500  0.02
Ac: 0.0917 0.5341 0.7500  0.02
Ac: 0.0000 0.0000 0.5000  0.01
Ac: 0.9083 0.4659 0.2500  0.02
Ac: 0.0000 0.0000 0.0000  0.01
Ac: 0.5341 0.0917 0.7500  0.02
O: 0.4338 0.4338 0.7500  0.03
O: 0.4427 0.1997 0.0375  0.06
O: 0.8003 0.5573 0.9625  0.06
O: 0.1997 0.4427 0.4625  0.06
O: 0.4427 0.1997 0.4625  0.06
O: 0.5662 0.5662 0.2500  0.03
O: 0.5573 0.8003 0.5375  0.06
O: 0.1614 0.9015 0.7500  0.00
O: 0.8003 0.5573 0.5375  0.06
O: 0.8386 0.0985 0.2500  0.00
O: 0.1997 0.4427 0.0375  0.06
O: 0.9015 0.1614 0.7500  0.00
O: 0.5573 0.8003 0.9625  0.06
O: 0.0985 0.8386 0.2500  0.00
Re: 0.5000 0.5000 0.5000  1.45
Re: 0.5000 0.5000 0.0000  1.45



- Which value of electronic total energy does entry 10 give?
  -24.27 eV for the cell shown